An optimized crystal structure of AgWO2F, computed with PBE+U.

a b c (Å): 4.1872 4.1872 4.0830
angles (deg): 90.00 90.00 90.00
With the nearest neighbours (Å) after each atom.
Sites, in units of the cell vectors:
O: 0.0000 0.5000 0.0000  2 Ag 2.09
O: 0.5000 0.0000 0.0000  2 Ag 2.09
F: 0.0000 0.0000 0.5000  2 Ag 2.04
W: 0.5000 0.5000 0.5000  8 O 2.92, 4 F 2.96
Ag: 0.0000 0.0000 0.0000  2 F 2.04, 4 O 2.09

Summary:
calculated volume = 14.32 A^3/atom
VASP energy = -4.2300 eV/atom